Crystalline Cs2PdI at its relaxed geometry. Source: Alexandria via LeMat-Bulk, functional PBE.

Cell lengths 9.832, 9.832, 9.832 Å; angles 132.18, 132.18, 69.94 degrees
Fractional positions:
Cs1 0.061 0.625 0.936
Cs2 0.375 0.311 0.436
Cs3 0.689 0.125 0.064
Cs4 0.875 0.939 0.564
Pd1 0.000 0.000 0.000
Pd2 0.750 0.250 0.500
I1 0.250 0.750 0.500
I2 0.500 0.500 0.000

Summary:
Raw total energy = -0.091 hartree per atom
Formation energy (no corrections) = -0.352 eV/atom
DOS at the Fermi energy = 0.1 states/eV/f.u.
Space group = I-42d
Spin magnetization = 0.00 μB/atom